Density functional theory data (PBE) for HfTiIr2 after structural relaxation.

CIF file:
```
data_HfTiIr2
_chemical_formula_sum 'Hf4 Ti4 Ir8'
_space_group_name_H-M_alt 'C m c m'
_space_group_IT_number 63
_space_group_name_Hall '-C 2c 2'
_cell_length_a 5.963
_cell_length_b 9.706
_cell_length_c 4.555
_cell_angle_alpha 90.00
_cell_angle_beta 90.00
_cell_angle_gamma 90.00
loop_
_atom_site_label
_atom_site_fract_x
_atom_site_fract_y
_atom_site_fract_z
Hf1 0.000 0.142 0.250
Ti1 0.000 0.370 0.750
Ir1 0.245 0.398 0.250
```

**DFT total energy**: -156.057 eV per cell
**Spin magnetization**: 0.00 μB per cell
**E_form**: -0.8610 eV per atom

---

Density functional theory data (PBE) for Dy2PdPbO5 after structural relaxation.

CIF file:
```
data_Dy2PdPbO5
_chemical_formula_sum 'Dy4 Pd2 Pb2 O10'
_space_group_name_H-M_alt 'P 4/m b m'
_space_group_IT_number 127
_space_group_name_Hall '-P 4 2ab'
_cell_length_a 6.534
_cell_length_b 6.534
_cell_length_c 5.865
_cell_angle_alpha 90.00
_cell_angle_beta 90.00
_cell_angle_gamma 90.00
loop_
_atom_site_label
_atom_site_fract_x
_atom_site_fract_y
_atom_site_fract_z
Dy1 0.173 0.327 0.000
Pd1 0.000 0.500 0.500
Pb1 0.000 0.000 0.500
O1 0.000 0.000 0.000
O2 0.141 0.641 0.240
```

**DFT total energy**: -126.061 eV per cell
**Spin magnetization**: 0.00 μB per cell

---

Density functional theory data (PBE) for Hf2OsClF after structural relaxation.

CIF file:
```
data_Hf2OsClF
_chemical_formula_sum 'Hf2 Os1 Cl1 F1'
_space_group_name_H-M_alt 'P 4/m m m'
_space_group_IT_number 123
_space_group_name_Hall '-P 4 2'
_cell_length_a 4.329
_cell_length_b 4.329
_cell_length_c 4.574
_cell_angle_alpha 90.00
_cell_angle_beta 90.00
_cell_angle_gamma 90.00
loop_
_atom_site_label
_atom_site_fract_x
_atom_site_fract_y
_atom_site_fract_z
Hf1 0.000 0.500 0.000
Os1 0.000 0.000 0.500
Cl1 0.500 0.500 0.500
F1 0.500 0.500 0.000
```

**DFT total energy**: -35.237 eV per cell
**Spin magnetization**: 0.00 μB per cell

---

Density functional theory data (PBE) for CsSc2PtO after structural relaxation.

CIF file:
```
data_CsSc2PtO
_chemical_formula_sum 'Cs1 Sc2 Pt1 O1'
_space_group_name_H-M_alt 'P 4/m m m'
_space_group_IT_number 123
_space_group_name_Hall '-P 4 2'
_cell_length_a 4.337
_cell_length_b 4.337
_cell_length_c 6.171
_cell_angle_alpha 90.00
_cell_angle_beta 90.00
_cell_angle_gamma 90.00
loop_
_atom_site_label
_atom_site_fract_x
_atom_site_fract_y
_atom_site_fract_z
Cs1 0.000 0.000 0.000
Sc1 0.000 0.500 0.500
Pt1 0.500 0.500 0.000
O1 0.500 0.500 0.500
```

**DFT total energy**: -26.863 eV per cell
**Spin magnetization**: 0.00 μB per cell

---

Density functional theory data (PBE) for AlSb after structural relaxation.

CIF file:
```
data_AlSb
_chemical_formula_sum 'Al6 Sb6'
_space_group_name_H-M_alt 'R -3 m'
_space_group_IT_number 166
_space_group_name_Hall '-R 3 2"'
_cell_length_a 3.3600
_cell_length_b 3.3600
_cell_length_c 28.9575
_cell_angle_alpha 90.00
_cell_angle_beta 90.00
_cell_angle_gamma 120.00
loop_
_atom_site_label
_atom_site_fract_x
_atom_site_fract_y
_atom_site_fract_z
Al1 0.0000 0.0000 0.1335
Sb1 0.0000 0.0000 0.3919
```

**DFT total energy**: -45.321 eV per cell
**Spin magnetization**: 0.00 μB per cell

---

Density functional theory data (PBE) for V2FeGe2 after structural relaxation.

CIF file:
```
data_V2FeGe2
_chemical_formula_sum 'V8 Fe4 Ge8'
_space_group_name_H-M_alt 'C m c 21'
_space_group_IT_number 36
_space_group_name_Hall 'C 2c -2'
_cell_length_a 4.100
_cell_length_b 13.092
_cell_length_c 5.080
_cell_angle_alpha 90.00
_cell_angle_beta 90.00
_cell_angle_gamma 90.00
loop_
_atom_site_label
_atom_site_fract_x
_atom_site_fract_y
_atom_site_fract_z
V1 0.000 0.008 0.000
V2 0.000 0.198 0.813
Fe1 0.000 0.396 0.695
Ge1 0.000 0.181 0.311
Ge2 0.000 0.420 0.220
```

**DFT total energy**: -146.651 eV per cell
**Spin magnetization**: 1.25 μB per cell
**E_form**: -0.1456 eV per atom

---

Density functional theory data (PBE) for LaYH2Au after structural relaxation.

CIF file:
```
data_LaYH2Au
_chemical_formula_sum 'La1 Y1 H2 Au1'
_space_group_name_H-M_alt 'P 4/m m m'
_space_group_IT_number 123
_space_group_name_Hall '-P 4 2'
_cell_length_a 4.215
_cell_length_b 4.215
_cell_length_c 7.059
_cell_angle_alpha 90.00
_cell_angle_beta 90.00
_cell_angle_gamma 90.00
loop_
_atom_site_label
_atom_site_fract_x
_atom_site_fract_y
_atom_site_fract_z
La1 0.000 0.000 0.000
Y1 0.000 0.000 0.500
H1 0.000 0.500 0.500
Au1 0.500 0.500 0.000
```

**DFT total energy**: -21.419 eV per cell
**Spin magnetization**: 0.37 μB per cell

---

Density functional theory data (PBE) for Rb2ZrBeBr6 after structural relaxation.

CIF file:
```
data_Rb2ZrBeBr6
_chemical_formula_sum 'Rb4 Zr2 Be2 Br12'
_space_group_name_H-M_alt 'I 4/m m m'
_space_group_IT_number 139
_space_group_name_Hall '-I 4 2'
_cell_length_a 8.101
_cell_length_b 8.101
_cell_length_c 9.940
_cell_angle_alpha 90.00
_cell_angle_beta 90.00
_cell_angle_gamma 90.00
loop_
_atom_site_label
_atom_site_fract_x
_atom_site_fract_y
_atom_site_fract_z
Rb1 0.000 0.500 0.250
Zr1 0.000 0.000 0.000
Be1 0.000 0.000 0.500
Br1 0.000 0.000 0.289
Br2 0.240 0.240 0.000
```

**DFT total energy**: -70.374 eV per cell
**Spin magnetization**: 4.00 μB per cell

---

Density functional theory data (PBE) for Pr2HoI after structural relaxation.

CIF file:
```
data_Pr2HoI
_chemical_formula_sum 'Pr6 Ho3 I3'
_space_group_name_H-M_alt 'R 3 m'
_space_group_IT_number 160
_space_group_name_Hall 'R 3 -2"'
_cell_length_a 3.8487
_cell_length_b 3.8487
_cell_length_c 32.3359
_cell_angle_alpha 90.00
_cell_angle_beta 90.00
_cell_angle_gamma 120.00
loop_
_atom_site_label
_atom_site_fract_x
_atom_site_fract_y
_atom_site_fract_z
Pr1 0.0000 0.0000 0.0000
Pr2 0.0000 0.0000 0.1740
Ho1 0.0000 0.0000 0.4201
I1 0.0000 0.0000 0.5869
```

**DFT total energy**: -51.820 eV per cell
**Spin magnetization**: 0.78 μB per cell
**Energy above the most stable polymorph in this dataset**: 0.000 eV per atom

---

Density functional theory data (PBE) for PmSnSb2 after structural relaxation.

CIF file:
```
data_PmSnSb2
_chemical_formula_sum 'Pm1 Sn1 Sb2'
_space_group_name_H-M_alt 'P 4/m m m'
_space_group_IT_number 123
_space_group_name_Hall '-P 4 2'
_cell_length_a 5.076
_cell_length_b 5.076
_cell_length_c 4.312
_cell_angle_alpha 90.00
_cell_angle_beta 90.00
_cell_angle_gamma 90.00
loop_
_atom_site_label
_atom_site_fract_x
_atom_site_fract_y
_atom_site_fract_z
Pm1 0.000 0.000 0.000
Sn1 0.500 0.500 0.000
Sb1 0.000 0.500 0.500
```

**DFT total energy**: -18.968 eV per cell
**Spin magnetization**: 0.00 μB per cell
**Energy above the most stable polymorph in this dataset**: 0.039 eV per atom

---

Density functional theory data (PBE) for CaTcSb2 after structural relaxation.

CIF file:
```
data_CaTcSb2
_chemical_formula_sum 'Ca3 Tc3 Sb6'
_space_group_name_H-M_alt 'R -3 m'
_space_group_IT_number 166
_space_group_name_Hall '-R 3 2"'
_cell_length_a 4.0745
_cell_length_b 4.0745
_cell_length_c 20.9214
_cell_angle_alpha 90.00
_cell_angle_beta 90.00
_cell_angle_gamma 120.00
loop_
_atom_site_label
_atom_site_fract_x
_atom_site_fract_y
_atom_site_fract_z
Ca1 0.0000 0.0000 0.0000
Tc1 0.0000 0.0000 0.5000
Sb1 0.0000 0.0000 0.2320
```

**DFT total energy**: -64.229 eV per cell
**Spin magnetization**: 0.00 μB per cell
**Energy above the most stable polymorph in this dataset**: 0.041 eV per atom